Entry 1:
This record from Alexandria describes BaSrTi2 after structural relaxation. The functional is PBE.

Summary:
- Energy of formation: 1.131 eV/atom
- E above lowest polymorph: 91 meV per atom
- Uncorrected energy: -3.72 eV/atom
- Magnetization: 1.000 μB/atom

Unit cell a=8.9979 b=8.9979 c=7.1477 alpha=50.99 beta=50.99 gamma=90.00
Site moments in Bohr magnetons follow the coordinates.
Fractional positions:
Sr 0.5000 0.5000 0.0000  0.05
Sr 0.2500 0.7500 0.5000  0.05
Ba 0.0000 0.0000 0.0000  0.08
Ba 0.7500 0.2500 0.5000  0.08
Ti 0.6251 0.1250 0.2500  1.45
Ti 0.1249 0.6250 0.2500  1.45
Ti 0.3750 0.3749 0.7500  1.45
Ti 0.8750 0.8751 0.7500  1.45

Entry 2:
This record from Alexandria describes Ba3SrTi after structural relaxation. The functional is PBE.

Summary:
- Energy of formation: 0.532 eV/atom
- E above lowest polymorph: 0 meV per atom
- Uncorrected energy: -2.54 eV/atom
- Magnetization: 0.426 μB/atom

Unit cell a=6.4809 b=6.4809 c=6.4809 alpha=90.00 beta=90.00 gamma=90.00
Site moments in Bohr magnetons follow the coordinates.
Fractional positions:
Sr 0.5000 0.5000 0.5000  -0.03
Ba 0.0000 0.5000 0.0000  0.05
Ba 0.0000 0.0000 0.5000  0.07
Ba 0.5000 0.0000 0.0000  0.03
Ti 0.0000 0.0000 0.0000  1.55

Entry 3:
This record from Alexandria describes Ba4SrTl2 after structural relaxation. The functional is PBE.

Summary:
- Energy of formation: -0.206 eV/atom
- E above lowest polymorph: 0 meV per atom
- Uncorrected energy: -2.22 eV/atom
- Magnetization: 0.004 μB/atom

Unit cell a=8.4634 b=9.0354 c=11.1278 alpha=116.58 beta=112.11 gamma=73.30
Fractional positions:
Ba 0.8465 0.0406 0.2404
Ba 0.1884 0.5921 0.0342
Ba 0.8278 0.5289 0.6190
Ba 0.8233 0.0013 0.5875
Ba 0.3130 0.3065 0.4797
Ba 0.5730 0.1657 0.8992
Ba 0.4665 0.7033 0.8577
Ba 0.8029 0.5598 0.2229
Sr 0.3209 0.8110 0.4727
Sr 0.1537 0.1344 0.0189
Tl 0.8176 0.3908 0.8647
Tl 0.4620 0.9247 0.2349
Tl 0.4960 0.3759 0.2676
Tl 0.1584 0.2151 0.7007

Entry 4:
This record from Alexandria describes Ba2SrTl2 after structural relaxation. The functional is PBE.

Summary:
- Energy of formation: -0.246 eV/atom
- E above lowest polymorph: 86 meV per atom
- Uncorrected energy: -2.30 eV/atom
- Magnetization: 0.000 μB/atom

Unit cell a=10.2101 b=10.2101 c=4.0130 alpha=90.00 beta=90.00 gamma=90.00
Fractional positions:
Sr 0.0000 0.0000 0.0000
Sr 0.5000 0.5000 0.0000
Tl 0.1647 0.6647 0.5000
Tl 0.6647 0.8353 0.5000
Tl 0.8353 0.3353 0.5000
Tl 0.3353 0.1647 0.5000
Ba 0.3663 0.8663 0.0000
Ba 0.8663 0.6337 0.0000
Ba 0.6337 0.1337 0.0000
Ba 0.1337 0.3663 0.0000